1.
# CuRuSe2Br, single point on PBEsol structure, DFT SCAN
data_CuRuSe2Br
_chemical_formula_sum 'Cu1 Ru1 Se2 Br1'
_cell_length_a 4.6898
_cell_length_b 4.6898
_cell_length_c 4.7960
_cell_angle_alpha 90.00
_cell_angle_beta 90.00
_cell_angle_gamma 90.00
_space_group_name_H-M_alt 'P 4/m m m'
_space_group_IT_number 123
_space_group_name_Hall '-P 4 2'
loop_
_atom_site_label
_atom_site_type_symbol
_atom_site_fract_x
_atom_site_fract_y
_atom_site_fract_z
Cu1 Cu 0.0000 0.0000 0.0000
Ru1 Ru 0.5000 0.5000 0.5000
Se1 Se 0.0000 0.5000 0.0000
Br1 Br 0.0000 0.0000 0.5000
# Energy relative to the elements, uncorrected: 4.53 eV/f.u.
# Crystal system: tetragonal


2.
# BaFeNi, single point on PBEsol structure, DFT SCAN
data_BaFeNi
_chemical_formula_sum 'Ba4 Fe4 Ni4'
_cell_length_a 6.4092
_cell_length_b 6.4092
_cell_length_c 6.4092
_cell_angle_alpha 90.00
_cell_angle_beta 90.00
_cell_angle_gamma 90.00
_space_group_name_H-M_alt 'F -4 3 m'
_space_group_IT_number 216
_space_group_name_Hall 'F -4 2 3'
loop_
_atom_site_label
_atom_site_type_symbol
_atom_site_fract_x
_atom_site_fract_y
_atom_site_fract_z
Ba1 Ba 0.0000 0.0000 0.0000
Fe1 Fe 0.2500 0.2500 0.2500
Ni1 Ni 0.2500 0.2500 0.7500
# Energy relative to the elements: 1.7067 eV/atom
# Crystal system: cubic


3.
# ScFe3H, single point on PBEsol structure, DFT SCAN
data_ScFe3H
_chemical_formula_sum 'Sc1 Fe3 H1'
_cell_length_a 4.3742
_cell_length_b 4.3742
_cell_length_c 4.3742
_cell_angle_alpha 90.00
_cell_angle_beta 90.00
_cell_angle_gamma 90.00
_space_group_name_H-M_alt 'P m -3 m'
_space_group_IT_number 221
_space_group_name_Hall '-P 4 2 3'
loop_
_atom_site_label
_atom_site_type_symbol
_atom_site_fract_x
_atom_site_fract_y
_atom_site_fract_z
Sc1 Sc 0.0000 0.0000 0.0000
Fe1 Fe 0.0000 0.0000 0.5000
H1 H 0.5000 0.5000 0.5000
# Crystal system: cubic


4.
# MgAgSe2, single point on PBEsol structure, DFT SCAN
data_MgAgSe2
_chemical_formula_sum 'Mg4 Ag4 Se8'
_cell_length_a 6.7689
_cell_length_b 6.7689
_cell_length_c 6.7689
_cell_angle_alpha 90.00
_cell_angle_beta 90.00
_cell_angle_gamma 90.00
_space_group_name_H-M_alt 'F -4 3 m'
_space_group_IT_number 216
_space_group_name_Hall 'F -4 2 3'
loop_
_atom_site_label
_atom_site_type_symbol
_atom_site_fract_x
_atom_site_fract_y
_atom_site_fract_z
Mg1 Mg 0.0000 0.0000 0.0000
Ag1 Ag 0.2500 0.2500 0.2500
Se1 Se 0.0000 0.0000 0.5000
Se2 Se 0.2500 0.2500 0.7500
# Energy relative to the elements, uncorrected: 0.26 eV/f.u.
# Crystal system: cubic


5.
# FeReRh, single point on PBEsol structure, DFT SCAN
data_FeReRh
_chemical_formula_sum 'Fe4 Re4 Rh4'
_cell_length_a 5.6556
_cell_length_b 5.6556
_cell_length_c 5.6556
_cell_angle_alpha 90.00
_cell_angle_beta 90.00
_cell_angle_gamma 90.00
_space_group_name_H-M_alt 'F -4 3 m'
_space_group_IT_number 216
_space_group_name_Hall 'F -4 2 3'
loop_
_atom_site_label
_atom_site_type_symbol
_atom_site_fract_x
_atom_site_fract_y
_atom_site_fract_z
Fe1 Fe 0.0000 0.0000 0.0000
Re1 Re 0.2500 0.2500 0.7500
Rh1 Rh 0.0000 0.0000 0.5000
# Energy relative to the elements: 0.5689 eV/atom
# Crystal system: cubic


6.
# TlCd2GaP, single point on PBEsol structure, DFT SCAN
data_TlCd2GaP
_chemical_formula_sum 'Tl1 Cd2 Ga1 P1'
_cell_length_a 4.9649
_cell_length_b 4.9649
_cell_length_c 5.3335
_cell_angle_alpha 90.00
_cell_angle_beta 90.00
_cell_angle_gamma 90.00
_space_group_name_H-M_alt 'P 4/m m m'
_space_group_IT_number 123
_space_group_name_Hall '-P 4 2'
loop_
_atom_site_label
_atom_site_type_symbol
_atom_site_fract_x
_atom_site_fract_y
_atom_site_fract_z
Tl1 Tl 0.0000 0.0000 0.0000
Cd1 Cd 0.0000 0.5000 0.5000
Ga1 Ga 0.0000 0.0000 0.5000
P1 P 0.5000 0.5000 0.0000
# Energy relative to the elements: 0.5977 eV/atom
# Crystal system: tetragonal


7.
# Tc2AgHg, single point on PBEsol structure, DFT SCAN
data_Tc2AgHg
_chemical_formula_sum 'Tc2 Ag1 Hg1'
_cell_length_a 3.7606
_cell_length_b 3.7606
_cell_length_c 4.4889
_cell_angle_alpha 90.00
_cell_angle_beta 90.00
_cell_angle_gamma 90.00
_space_group_name_H-M_alt 'P 4/m m m'
_space_group_IT_number 123
_space_group_name_Hall '-P 4 2'
loop_
_atom_site_label
_atom_site_type_symbol
_atom_site_fract_x
_atom_site_fract_y
_atom_site_fract_z
Tc1 Tc 0.0000 0.5000 0.0000
Ag1 Ag 0.0000 0.0000 0.5000
Hg1 Hg 0.5000 0.5000 0.5000
# Energy relative to the elements: 0.6842 eV/atom
# Crystal system: tetragonal


8.
# Mn2AgNF, single point on PBEsol structure, DFT SCAN
data_Mn2AgNF
_chemical_formula_sum 'Mn2 Ag1 N1 F1'
_cell_length_a 4.0392
_cell_length_b 4.0392
_cell_length_c 4.4978
_cell_angle_alpha 90.00
_cell_angle_beta 90.00
_cell_angle_gamma 90.00
_space_group_name_H-M_alt 'P 4/m m m'
_space_group_IT_number 123
_space_group_name_Hall '-P 4 2'
loop_
_atom_site_label
_atom_site_type_symbol
_atom_site_fract_x
_atom_site_fract_y
_atom_site_fract_z
Mn1 Mn 0.0000 0.5000 0.0000
Ag1 Ag 0.0000 0.0000 0.5000
N1 N 0.5000 0.5000 0.5000
F1 F 0.0000 0.0000 0.0000
# Energy relative to the elements, uncorrected: 2.66 eV/f.u.
# Crystal system: tetragonal


9.
# Ta2SO, single point on PBEsol structure, DFT SCAN
data_Ta2SO
_chemical_formula_sum 'Ta8 S4 O4'
_cell_length_a 4.4125
_cell_length_b 4.4125
_cell_length_c 12.8634
_cell_angle_alpha 90.00
_cell_angle_beta 90.00
_cell_angle_gamma 90.00
_space_group_name_H-M_alt 'I -4 2 d'
_space_group_IT_number 122
_space_group_name_Hall 'I -4 2bw'
loop_
_atom_site_label
_atom_site_type_symbol
_atom_site_fract_x
_atom_site_fract_y
_atom_site_fract_z
Ta1 Ta 0.1866 0.2500 0.1250
S1 S 0.0000 0.0000 0.5000
O1 O 0.0000 0.0000 0.0000
# Energy relative to the elements, uncorrected: -3.34 eV/f.u.
# Crystal system: tetragonal


10.
# LiTiTl3, single point on PBEsol structure, DFT SCAN
data_LiTiTl3
_chemical_formula_sum 'Li1 Ti1 Tl3'
_cell_length_a 4.8839
_cell_length_b 4.8839
_cell_length_c 4.8839
_cell_angle_alpha 90.00
_cell_angle_beta 90.00
_cell_angle_gamma 90.00
_space_group_name_H-M_alt 'P m -3 m'
_space_group_IT_number 221
_space_group_name_Hall '-P 4 2 3'
loop_
_atom_site_label
_atom_site_type_symbol
_atom_site_fract_x
_atom_site_fract_y
_atom_site_fract_z
Li1 Li 0.0000 0.0000 0.0000
Ti1 Ti 0.5000 0.5000 0.5000
Tl1 Tl 0.0000 0.0000 0.5000
# Energy relative to the elements: 0.4127 eV/atom
# Crystal system: cubic


11.
# GaPI2, single point on PBEsol structure, DFT SCAN
data_GaPI2
_chemical_formula_sum 'Ga4 P4 I8'
_cell_length_a 5.5948
_cell_length_b 5.5948
_cell_length_c 17.5072
_cell_angle_alpha 90.00
_cell_angle_beta 90.00
_cell_angle_gamma 90.00
_space_group_name_H-M_alt 'I -4 2 d'
_space_group_IT_number 122
_space_group_name_Hall 'I -4 2bw'
loop_
_atom_site_label
_atom_site_type_symbol
_atom_site_fract_x
_atom_site_fract_y
_atom_site_fract_z
Ga1 Ga 0.0000 0.0000 0.0000
P1 P 0.0000 0.0000 0.5000
I1 I 0.2012 0.2500 0.6250
# Energy relative to the elements, uncorrected: 2.14 eV/f.u.
# Crystal system: tetragonal


12.
# YNb2PIr, single point on PBEsol structure, DFT SCAN
data_YNb2PIr
_chemical_formula_sum 'Y1 Nb2 P1 Ir1'
_cell_length_a 4.7607
_cell_length_b 4.7607
_cell_length_c 5.3354
_cell_angle_alpha 90.00
_cell_angle_beta 90.00
_cell_angle_gamma 90.00
_space_group_name_H-M_alt 'P 4/m m m'
_space_group_IT_number 123
_space_group_name_Hall '-P 4 2'
loop_
_atom_site_label
_atom_site_type_symbol
_atom_site_fract_x
_atom_site_fract_y
_atom_site_fract_z
Y1 Y 0.0000 0.0000 0.0000
Nb1 Nb 0.0000 0.5000 0.5000
P1 P 0.5000 0.5000 0.0000
Ir1 Ir 0.0000 0.0000 0.5000
# Energy relative to the elements: 0.4536 eV/atom
# Crystal system: tetragonal


13.
# Sr2HgP, single point on PBEsol structure, DFT SCAN
data_Sr2HgP
_chemical_formula_sum 'Sr2 Hg1 P1'
_cell_length_a 5.1437
_cell_length_b 5.1437
_cell_length_c 4.0722
_cell_angle_alpha 90.00
_cell_angle_beta 90.00
_cell_angle_gamma 90.00
_space_group_name_H-M_alt 'P 4/m m m'
_space_group_IT_number 123
_space_group_name_Hall '-P 4 2'
loop_
_atom_site_label
_atom_site_type_symbol
_atom_site_fract_x
_atom_site_fract_y
_atom_site_fract_z
Sr1 Sr 0.0000 0.5000 0.0000
Hg1 Hg 0.0000 0.0000 0.5000
P1 P 0.5000 0.5000 0.5000
# Energy relative to the elements: -0.8839 eV/atom
# Offset from the most stable computed form: 58 meV/atom
# Crystal system: tetragonal


14.
# ZnCuCl2, single point on PBEsol structure, DFT SCAN
data_ZnCuCl2
_chemical_formula_sum 'Zn2 Cu2 Cl4'
_cell_length_a 3.1940
_cell_length_b 6.8928
_cell_length_c 8.2225
_cell_angle_alpha 90.00
_cell_angle_beta 90.00
_cell_angle_gamma 90.00
_space_group_name_H-M_alt 'I m m 2'
_space_group_IT_number 44
_space_group_name_Hall 'I 2 -2'
loop_
_atom_site_label
_atom_site_type_symbol
_atom_site_fract_x
_atom_site_fract_y
_atom_site_fract_z
Zn1 Zn 0.0000 0.0000 0.0000
Cu1 Cu 0.0000 0.5000 0.2714
Cl1 Cl 0.0000 0.0000 0.5813
Cl2 Cl 0.0000 0.5000 0.7002
# Energy relative to the elements, uncorrected: -1.69 eV/f.u.
# Offset from the most stable computed form: 0 meV/atom
# Crystal system: orthorhombic


Number 1: uncorrected energy -21.023 eV per atom. Number 2: uncorrected energy -22.911 eV per atom. Number 3: uncorrected energy -12.194 eV per atom. Number 4: uncorrected energy -19.059 eV per atom. Number 5: uncorrected energy -40.431 eV per atom. Number 6: uncorrected energy -31.389 eV per atom. Number 7: uncorrected energy -41.729 eV per atom. Number 8: uncorrected energy -15.609 eV per atom. Number 9: uncorrected energy -38.090 eV per atom. Number 10: uncorrected energy -46.686 eV per atom. Number 11: uncorrected energy -24.522 eV per atom. Number 12: uncorrected energy -34.666 eV per atom. Number 13: uncorrected energy -31.663 eV per atom. Number 14: uncorrected energy -11.591 eV per atom.